Below is a crystal of KMn2Ni relaxed with PBEsol, with properties calculated at the meta-GGA SCAN level.

V	67	Å³/cell
energy relative to the lowest polymorph listed for this composition	0.156	eV per atom
total moment	0.40	μB/f.u.
Fermi-level density of states	3.620	states/eV/cell
ΔH_f (0 K)	0.8086	eV/atom

Lattice parameters (Å, degrees): 4.550 4.550 4.550 60.00 60.00 60.00
Each line ends with the local moment (μB).
Sites, in units of the cell vectors:
K  0.250  0.250  0.250  -0.02
Ni  0.500  0.500  0.500  0.41
Mn  0.000  0.000  0.000  -4.11
Mn  0.750  0.750  0.750  4.09